DFT (GGA+U) results for an optimized crystal structure of CoAsIrO6.

```
CoAsIrO6
1.0
5.053 0.000 0.000
-2.527 4.376 0.000
0.000 0.000 8.814
Co As Ir O
2 2 2 12
direct
0.000 0.000 0.000
0.000 0.000 0.500
0.333 0.667 0.250
0.667 0.333 0.750
0.333 0.667 0.750
0.667 0.333 0.250
0.014 0.359 0.135
0.014 0.656 0.365
0.344 0.359 0.365
0.344 0.986 0.135
0.359 0.014 0.635
0.359 0.344 0.865
0.641 0.656 0.135
0.641 0.986 0.365
0.656 0.014 0.865
0.656 0.641 0.635
0.986 0.344 0.635
0.986 0.641 0.865
```

Properties
**Space group**: P-31c
**Calculated total energy**: -6.3164 eV/atom
**D(E_F)**: 8.33 states/eV/cell
**Spin magnetization**: 0.5228 μB/atom